No. 1
VASP calculation (GGA-PBE) on ZrAu after structural relaxation.

Lattice parameters (Å, degrees): 4.156 4.156 5.469 67.67 67.67 90.00
Sites, in units of the cell vectors:
Au: 0.000 0.000 0.000
Au: 0.750 0.250 0.500
Zr: 0.250 0.750 0.500
Zr: 0.500 0.500 0.000

total magnetic moment = 0.000 μB/cell
energy = -6.300 eV/atom
symmetry = I4_1/amd (141)
crystal system = tetragonal

No. 2
VASP calculation (GGA-PBE) on Zr2Au after structural relaxation.

Lattice parameters (Å, degrees): 6.661 6.661 6.661 90.00 90.00 90.00
Sites, in units of the cell vectors:
Au: 0.000 0.500 0.500
Au: 0.500 0.500 0.000
Au: 0.500 0.000 0.500
Au: 0.000 0.000 0.000
Zr: 0.145 0.855 0.355
Zr: 0.855 0.355 0.145
Zr: 0.355 0.145 0.855
Zr: 0.645 0.855 0.145
Zr: 0.355 0.355 0.355
Zr: 0.855 0.145 0.645
Zr: 0.145 0.645 0.855
Zr: 0.645 0.645 0.645

total magnetic moment = 0.002 μB/cell
energy = -6.681 eV/atom
symmetry = Pa-3 (205)
crystal system = cubic

No. 3
VASP calculation (GGA-PBE) on ZrAu3 after structural relaxation.

Lattice parameters (Å, degrees): 5.144 5.144 2.981 90.00 90.00 104.07
Sites, in units of the cell vectors:
Au: 0.000 0.500 0.500
Au: 0.500 0.000 0.500
Au: 0.000 0.000 0.000
Zr: 0.500 0.500 0.000

total magnetic moment = 0.000 μB/cell
energy = -4.790 eV/atom
symmetry = Cmmm (65)
crystal system = orthorhombic

No. 4
VASP calculation (GGA-PBE) on Zr2Au after structural relaxation.

Lattice parameters (Å, degrees): 3.185 8.008 5.484 97.42 106.78 79.49
Sites, in units of the cell vectors:
Zr: 0.857 0.852 0.578
Zr: 0.217 0.672 0.111
Zr: 0.143 0.148 0.422
Zr: 0.783 0.328 0.889
Au: 0.500 0.000 0.000
Au: 0.000 0.500 0.500

total magnetic moment = 0.000 μB/cell
energy = -6.934 eV/atom
symmetry = P-1 (2)
crystal system = triclinic

No. 5
VASP calculation (GGA-PBE) on ZrAu after structural relaxation.

Lattice parameters (Å, degrees): 3.279 3.279 9.164 90.00 90.00 120.00
Sites, in units of the cell vectors:
Zr: 0.000 0.000 0.489
Zr: 0.333 0.667 0.761
Au: 0.000 0.000 0.001
Au: 0.333 0.667 0.249

total magnetic moment = 0.000 μB/cell
energy = -6.102 eV/atom
symmetry = P-3m1 (164)
crystal system = trigonal

No. 6
VASP calculation (GGA-PBE) on ZrAu3 after structural relaxation.

Lattice parameters (Å, degrees): 5.360 5.360 5.360 90.00 90.00 90.00
Sites, in units of the cell vectors:
Au: 0.500 0.000 0.750
Au: 0.500 0.000 0.250
Au: 0.750 0.500 0.000
Au: 0.250 0.500 0.000
Au: 0.000 0.750 0.500
Au: 0.000 0.250 0.500
Zr: 0.000 0.000 0.000
Zr: 0.500 0.500 0.500

total magnetic moment = 0.000 μB/cell
energy = -4.936 eV/atom
symmetry = Pm-3n (223)
crystal system = cubic

No. 7
VASP calculation (GGA-PBE) on ZrAu2 after structural relaxation.

Lattice parameters (Å, degrees): 4.609 4.609 4.609 60.00 60.00 60.00
Sites, in units of the cell vectors:
Zr: 0.000 0.000 0.000
Au: 0.750 0.750 0.750
Au: 0.250 0.250 0.250

total magnetic moment = 0.000 μB/cell
energy = -5.240 eV/atom
symmetry = Fm-3m (225)
crystal system = cubic

No. 8
VASP calculation (GGA-PBE) on ZrAu2 after structural relaxation.

Lattice parameters (Å, degrees): 3.508 7.200 4.780 90.00 90.00 75.90
Sites, in units of the cell vectors:
Zr: 0.883 0.234 0.500
Zr: 0.672 0.655 0.000
Au: 0.007 0.986 0.000
Au: 0.336 0.328 0.000
Au: 0.219 0.561 0.500
Au: 0.549 0.903 0.500

total magnetic moment = 0.000 μB/cell
energy = -5.523 eV/atom
symmetry = Cmcm (63)
crystal system = orthorhombic

No. 9
VASP calculation (GGA-PBE) on Zr2Au after structural relaxation.

Lattice parameters (Å, degrees): 3.308 3.308 6.977 90.00 90.00 120.00
Sites, in units of the cell vectors:
Au: 0.000 0.000 0.000
Zr: 0.667 0.333 0.674
Zr: 0.333 0.667 0.326

total magnetic moment = 0.000 μB/cell
energy = -7.008 eV/atom
symmetry = P-3m1 (164)
crystal system = trigonal

No. 10
VASP calculation (GGA-PBE) on Zr2Au after structural relaxation.

Lattice parameters (Å, degrees): 7.822 7.822 5.274 90.00 90.00 156.00
Sites, in units of the cell vectors:
Zr: 0.041 0.959 0.750
Zr: 0.631 0.369 0.250
Zr: 0.369 0.631 0.750
Zr: 0.959 0.041 0.250
Au: 0.294 0.706 0.250
Au: 0.706 0.294 0.750

total magnetic moment = 0.000 μB/cell
energy = -7.023 eV/atom
symmetry = Cmcm (63)
crystal system = orthorhombic

No. 11
VASP calculation (GGA-PBE) on Zr2Au after structural relaxation.

Lattice parameters (Å, degrees): 7.600 7.600 3.904 90.00 90.00 120.00
Sites, in units of the cell vectors:
Zr: 0.600 0.000 0.500
Zr: 0.400 0.400 0.500
Zr: 0.731 0.731 0.000
Zr: 0.000 0.269 0.000
Zr: 0.269 0.000 0.000
Zr: 0.000 0.600 0.500
Au: 0.667 0.333 0.000
Au: 0.333 0.667 0.000
Au: 0.000 0.000 0.500

total magnetic moment = 0.000 μB/cell
energy = -7.089 eV/atom
symmetry = P-62m (189)
crystal system = hexagonal

No. 12
VASP calculation (GGA-PBE) on ZrAu3 after structural relaxation.

Lattice parameters (Å, degrees): 6.185 4.891 4.958 90.00 90.00 90.00
Sites, in units of the cell vectors:
Au: 0.254 0.000 0.166
Au: 0.500 0.000 0.661
Au: 0.000 0.500 0.339
Au: 0.746 0.000 0.166
Au: 0.246 0.500 0.834
Au: 0.754 0.500 0.834
Zr: 0.000 0.000 0.662
Zr: 0.500 0.500 0.338

total magnetic moment = 0.000 μB/cell
energy = -5.094 eV/atom
symmetry = Pmmn (59)
crystal system = orthorhombic